Entry 1:
Density functional theory data (GGA-PBE) for a geometry-optimized Ba3CaBi4 structure.

Cell lengths 10.6008, 10.6008, 10.6008 Å; angles 151.52, 140.91, 49.07 degrees
Last column: nearest neighbours and their distance in Å.
Fractional coordinates of all 8 atoms:
Ba 0.0000 0.0000 0.0000  8 Bi 3.88
Ba 0.2958 0.7958 0.5000  6 Bi 3.61-3.64
Ba 0.7042 0.2042 0.5000  6 Bi 3.61-3.64
Ca 0.5000 0.5000 0.0000  4 Bi 3.13
Bi 0.0946 0.3748 0.7199  1 Bi 3.12, 1 Ca 3.13
Bi 0.3451 0.6252 0.7199  1 Bi 3.12, 1 Ca 3.13
Bi 0.6549 0.3748 0.2801  1 Bi 3.12, 1 Ca 3.13
Bi 0.9054 0.6252 0.2801  1 Bi 3.12, 1 Ca 3.13

Summary:
Energy of formation from the pure elements ... -0.75 eV/atom

***

Entry 2:
Density functional theory data (GGA-PBE) for a geometry-optimized Ba2CaBi structure.

Cell lengths 8.2254, 8.2254, 8.2254 Å; angles 102.05, 102.05, 125.64 degrees
Last column: nearest neighbours and their distance in Å.
Fractional coordinates of all 8 atoms:
Ba 0.0714 0.6250 0.9464  2 Bi 3.42
Ba 0.3750 0.3214 0.4464  2 Bi 3.42
Ba 0.6786 0.1250 0.0536  2 Bi 3.42
Ba 0.8750 0.9286 0.5536  2 Bi 3.42
Ca 0.2500 0.7500 0.5000  2 Bi 3.76, 4 Ba 4.18
Ca 0.5000 0.5000 0.0000  2 Bi 3.76, 4 Ba 4.18
Bi 0.0000 0.0000 0.0000  4 Ba 3.42, 2 Ca 3.76
Bi 0.7500 0.2500 0.5000  4 Ba 3.42, 2 Ca 3.76

Summary:
Energy of formation from the pure elements ... -0.28 eV/atom

***

Entry 3:
Density functional theory data (GGA-PBE) for a geometry-optimized BaCaBi2 structure.

Cell lengths 9.8359, 9.8359, 9.8359 Å; angles 25.54, 25.54, 25.54 degrees
Last column: nearest neighbours and their distance in Å.
Fractional coordinates of all 4 atoms:
Ba 0.0000 0.0000 0.0000  6 Bi 3.57-3.61
Ca 0.8311 0.8311 0.8311  6 Bi 3.31-3.35
Bi 0.2422 0.2422 0.2422  3 Ca 3.35, 3 Ba 3.61
Bi 0.4224 0.4224 0.4224  3 Ca 3.31, 3 Ba 3.57

Summary:
Relative energy among the computed polymorphs ... 142 meV/atom
Energy of formation from the pure elements ... -0.59 eV/atom

***

Entry 4:
Density functional theory data (GGA-PBE) for a geometry-optimized BaCaBiCl2 structure.

Cell lengths 9.0114, 9.0114, 7.6050 Å; angles 90.00, 90.00, 145.84 degrees
Last column: nearest neighbours and their distance in Å.
Fractional coordinates of all 10 atoms:
Ba 0.1941 0.8059 0.7500  6 Cl 3.13-3.22
Ba 0.8059 0.1941 0.2500  6 Cl 3.13-3.22
Ca 0.5000 0.5000 0.0000  2 Cl 2.89
Ca 0.5000 0.5000 0.5000  2 Cl 2.89
Bi 0.0128 0.9872 0.2500  4 Ca 3.27, 1 Ba 3.57
Bi 0.9872 0.0128 0.7500  4 Ca 3.27, 1 Ba 3.57
Cl 0.3324 0.6676 0.0169  1 Ca 2.89, 3 Ba 3.13-3.22
Cl 0.3324 0.6676 0.4831  1 Ca 2.89, 3 Ba 3.13-3.22
Cl 0.6676 0.3324 0.5169  1 Ca 2.89, 3 Ba 3.13-3.22
Cl 0.6676 0.3324 0.9831  1 Ca 2.89, 3 Ba 3.13-3.22

Summary:
Raw formation energy ... -1726 meV per atom

***

Entry 5:
Density functional theory data (GGA-PBE) for a geometry-optimized BaCaBiCl structure.

Cell lengths 5.1816, 5.1816, 11.0265 Å; angles 90.00, 90.00, 90.00 degrees
Last column: nearest neighbours and their distance in Å.
Fractional coordinates of all 8 atoms:
Ba 0.2500 0.2500 0.1630  4 Cl 3.15
Ba 0.7500 0.7500 0.8370  4 Cl 3.15
Ca 0.2500 0.7500 0.5000  4 Bi 3.23
Ca 0.7500 0.2500 0.5000  4 Bi 3.23
Bi 0.2500 0.2500 0.6747  4 Ca 3.23
Bi 0.7500 0.7500 0.3253  4 Ca 3.23
Cl 0.2500 0.7500 0.0000  4 Ba 3.15
Cl 0.7500 0.2500 0.0000  4 Ba 3.15

Summary:
Relative energy among the computed polymorphs ... 0 meV/atom
Raw formation energy ... -1480 meV per atom

***

Entry 6:
Density functional theory data (GGA-PBE) for a geometry-optimized Ba2CaBiCl structure.

Cell lengths 6.8844, 6.8844, 5.0094 Å; angles 90.00, 90.00, 90.00 degrees
Last column: nearest neighbours and their distance in Å.
Fractional coordinates of all 5 atoms:
Ba 0.0000 0.5000 0.0000  2 Ca 3.44
Ba 0.5000 0.0000 0.0000  2 Ca 3.44
Ca 0.0000 0.0000 0.0000  2 Cl 2.50
Bi 0.5000 0.5000 0.5000  8 Ba 4.26
Cl 0.0000 0.0000 0.5000  2 Ca 2.50

Summary:
Raw formation energy ... -441 meV per atom

***

Entry 7:
Density functional theory data (GGA-PBE) for a geometry-optimized BaCaBiCl structure.

Cell lengths 5.7294, 5.7294, 5.7294 Å; angles 60.00, 60.00, 60.00 degrees
Last column: nearest neighbours and their distance in Å.
Fractional coordinates of all 4 atoms:
Ba 0.0000 0.0000 0.0000  4 Bi 3.51, 4 Cl 3.51
Ca 0.5000 0.5000 0.5000  4 Bi 3.51, 4 Cl 3.51
Bi 0.7500 0.7500 0.7500  4 Ca 3.51, 4 Ba 3.51
Cl 0.2500 0.2500 0.2500  4 Ca 3.51, 4 Ba 3.51

Summary:
Relative energy among the computed polymorphs ... 164 meV/atom
Raw formation energy ... -1316 meV per atom

***

Entry 8:
Density functional theory data (GGA-PBE) for a geometry-optimized BaCaCuBi structure.

Cell lengths 5.6660, 5.6660, 5.6660 Å; angles 60.00, 60.00, 60.00 degrees
Last column: nearest neighbours and their distance in Å.
Fractional coordinates of all 4 atoms:
Ba 0.0000 0.0000 0.0000  4 Cu 3.47, 4 Bi 3.47
Ca 0.5000 0.5000 0.5000  4 Bi 3.47, 4 Cu 3.47
Cu 0.7500 0.7500 0.7500  4 Ba 3.47, 4 Ca 3.47
Bi 0.2500 0.2500 0.2500  4 Ba 3.47, 4 Ca 3.47

Summary:
Energy of formation from the pure elements ... -0.43 eV/atom

***

Entry 9:
Density functional theory data (GGA-PBE) for a geometry-optimized BaCaCuBiO6 structure.

Cell lengths 5.8065, 5.8065, 5.8065 Å; angles 60.00, 60.00, 60.00 degrees
Last column: nearest neighbours and their distance in Å.
Fractional coordinates of all 10 atoms:
Ba 0.0000 0.0000 0.0000  12 O 2.90
Ca 0.5000 0.5000 0.5000  12 O 2.90
Cu 0.7500 0.7500 0.7500  6 O 1.97
Bi 0.2500 0.2500 0.2500  6 O 2.14
O 0.5101 0.5101 0.9899  1 Cu 1.97, 1 Bi 2.14
O 0.5101 0.9899 0.5101  1 Cu 1.97, 1 Bi 2.14
O 0.5101 0.9899 0.9899  1 Cu 1.97, 1 Bi 2.14
O 0.9899 0.5101 0.5101  1 Cu 1.97, 1 Bi 2.14
O 0.9899 0.5101 0.9899  1 Cu 1.97, 1 Bi 2.14
O 0.9899 0.9899 0.5101  1 Cu 1.97, 1 Bi 2.14

Summary:
Raw formation energy ... -1473 meV per atom

***

Entry 10:
Density functional theory data (GGA-PBE) for a geometry-optimized BaCaEuBiO6 structure.

Cell lengths 6.1171, 6.1171, 6.1171 Å; angles 60.00, 60.00, 60.00 degrees
Last column: nearest neighbours and their distance in Å.
Fractional coordinates of all 10 atoms:
Ba 0.0000 0.0000 0.0000  12 O 3.06
Ca 0.2500 0.2500 0.2500  6 O 2.23
Eu 0.5000 0.5000 0.5000  12 O 3.06
Bi 0.7500 0.7500 0.7500  6 O 2.10
O 0.5075 0.5075 0.9925  1 Bi 2.10, 1 Ca 2.23
O 0.5075 0.9925 0.5075  1 Bi 2.10, 1 Ca 2.23
O 0.5075 0.9925 0.9925  1 Bi 2.10, 1 Ca 2.23
O 0.9925 0.5075 0.5075  1 Bi 2.10, 1 Ca 2.23
O 0.9925 0.5075 0.9925  1 Bi 2.10, 1 Ca 2.23
O 0.9925 0.9925 0.5075  1 Bi 2.10, 1 Ca 2.23

Summary:
Relative energy among the computed polymorphs ... 154 meV/atom
Raw formation energy ... -2012 meV per atom